This record from Alexandria via LeMat-Bulk describes an optimized crystal structure of Ho3ThSc3. The functional is GGA-PBE.

N(E_F) = 1.71 states/eV/atom
V = 399.58 Å³ per cell
Energy = -0.419 Ry/atom
Spin magnetization = 0.000 μB/atom
E_form = 0.03 eV/atom

Lattice parameters (Å, degrees): 5.445 9.205 9.206 120.00 90.00 90.00
Fractional positions:
Ho (0.250, 0.245, 0.052)
Sc (0.750, 0.485, 0.097)
Th (0.250, 0.667, 0.333)
Sc (0.750, 0.903, 0.388)
Ho (0.750, 0.755, 0.948)
Sc (0.250, 0.515, 0.903)
Sc (0.250, 0.097, 0.612)
Ho (0.250, 0.807, 0.755)
Sc (0.750, 0.612, 0.515)
Ho (0.750, 0.052, 0.807)
Ho (0.750, 0.193, 0.245)
Sc (0.250, 0.388, 0.485)
Ho (0.250, 0.948, 0.193)
Th (0.750, 0.333, 0.667)

This record from Alexandria via LeMat-Bulk describes an optimized crystal structure of Ho4ThSc5. The functional is GGA-PBE.

N(E_F) = 1.70 states/eV/atom
V = 287.55 Å³ per cell
Energy = -0.399 Ry/atom
Spin magnetization = 0.000 μB/atom
E_form = 0.31 eV/atom

Lattice parameters (Å, degrees): 6.076 7.520 7.520 80.61 66.17 66.17
Fractional positions:
Sc (0.087, 0.628, 0.087)
Sc (0.803, 0.372, 0.913)
Ho (0.107, 0.293, 0.395)
Sc (0.716, 0.087, 0.372)
Ho (0.795, 0.707, 0.605)
Ho (0.502, 0.605, 0.293)
Sc (0.699, 0.000, 0.000)
Ho (0.399, 0.395, 0.707)
Sc (0.175, 0.913, 0.628)
Th (0.228, 0.000, 0.000)

This record from Alexandria via LeMat-Bulk describes an optimized crystal structure of Ho3Th5Sc. The functional is GGA-PBE.

N(E_F) = 1.92 states/eV/atom
V = 583.75 Å³ per cell
Energy = -0.434 Ry/atom
Spin magnetization = 0.003 μB/atom
E_form = 0.45 eV/atom

Lattice parameters (Å, degrees): 9.158 9.158 9.507 118.80 118.80 90.00
Fractional positions:
Th (0.926, 0.426, 0.262)
Sc (0.250, 0.750, 0.500)
Th (0.074, 0.574, 0.738)
Ho (0.250, 0.250, 0.500)
Th (0.574, 0.664, 0.738)
Th (0.664, 0.164, 0.738)
Ho (0.605, 0.105, 0.000)
Sc (0.750, 0.250, 0.500)
Th (0.164, 0.074, 0.738)
Ho (0.750, 0.750, 0.500)
Th (0.336, 0.836, 0.262)
Th (0.426, 0.336, 0.262)
Ho (0.395, 0.895, 0.000)
Ho (0.895, 0.605, 0.000)
Th (0.000, 0.000, 0.000)
Ho (0.105, 0.395, 0.000)
Th (0.500, 0.500, 0.000)
Th (0.836, 0.926, 0.262)

Question: Which of these has the highest N(E_F)?
Answer: Ho3Th5Sc